# 1
This record from Alexandria via LeMat-Bulk describes crystalline Tm2InCu at its relaxed geometry. The functional is PBE.

## Properties
As for the energy relative to the elements: -0.37 eV/atom. The calculation puts the total magnetization at 0.00 μB/atom. Its density of states at the Fermi level is 3.04 states/eV/cell. As for the total energy: -4.3099 eV per atom.

Unit cell a=3.4758 b=3.4758 c=7.5758 alpha=90.00 beta=90.00 gamma=90.00
With the nearest neighbours (Å) after each atom.
Space group P4/mmm (No. 123)
One atom of each set of equivalent atoms:
Tm 0.0000 0.0000 0.2215  4 Cu 2.98, 4 In 3.24
In 0.5000 0.5000 0.5000  8 Tm 3.24, 4 In 3.48
Cu 0.5000 0.5000 0.0000  8 Tm 2.98



# 2
This record from Alexandria via LeMat-Bulk describes crystalline Er3SbSe2 at its relaxed geometry. The functional is PBE.

## Properties
The calculation puts the total magnetization at 0.00 μB/atom. Its density of states at the Fermi level is 4.22 states/eV/cell. As for the total energy: -5.6276 eV per atom. The uncorrected formation energy is -1.498 eV/atom.

Unit cell a=4.1543 b=5.8830 c=12.4046 alpha=90.00 beta=90.00 gamma=90.00
With the nearest neighbours (Å) after each atom.
Space group Immm (No. 71)
One atom of each set of equivalent atoms:
Er 0.0000 0.0000 0.0000  4 Se 2.91, 2 Sb 2.94
Er 0.0000 0.0000 0.3252  4 Se 2.88-2.94, 2 Sb 3.00
Sb 0.0000 0.5000 0.0000  6 Er 2.94-3.00
Se 0.0000 0.5000 0.3355  6 Er 2.88-2.94



# 3
This record from Alexandria via LeMat-Bulk describes crystalline SrTa2Pb at its relaxed geometry. The functional is PBE.

## Properties
As for the energy relative to the elements: 0.75 eV/atom. The calculation puts the total magnetization at 0.00 μB/atom. Its density of states at the Fermi level is 3.86 states/eV/cell. As for the total energy: -6.5233 eV per atom.

Unit cell a=3.1661 b=5.5697 c=5.5162 alpha=90.00 beta=91.85 gamma=90.00
With the nearest neighbours (Å) after each atom.
Space group P2/m (No. 10)
One atom of each set of equivalent atoms:
Sr 0.0000 0.0000 0.0000  4 Pb 3.14-3.22, 2 Sr 3.17, 4 Ta 3.33
Ta 0.3753 0.5000 0.7563  2 Ta 2.78-2.96
Pb 0.5000 0.0000 0.5000  4 Sr 3.14-3.22, 4 Ta 3.15, 2 Pb 3.17



# 4
This record from Alexandria via LeMat-Bulk describes crystalline Tb8NdTh3 at its relaxed geometry. The functional is PBE.

## Properties
As for the energy relative to the elements: 0.38 eV/atom. The calculation puts the total magnetization at 0.00 μB/atom. Its density of states at the Fermi level is 39.71 states/eV/cell. As for the total energy: -4.9611 eV per atom.

Unit cell a=6.3290 b=11.4576 c=11.5055 alpha=90.00 beta=90.00 gamma=90.00
With the nearest neighbours (Å) after each atom.
Space group Immm (No. 71)
One atom of each set of equivalent atoms:
Tb 0.0000 0.2475 0.1706  6 Tb 3.37-3.65, 3 Th 3.45-3.76, 1 Nd 3.50
Tb 0.2421 0.5000 0.2586  6 Tb 3.06-3.43, 1 Th 3.22, 1 Nd 3.35
Nd 0.0000 0.5000 0.0000  8 Tb 3.35-3.50
Th 0.0000 0.0000 0.0000  8 Tb 3.22-3.45
Th 0.0000 0.2995 0.5000  10 Tb 3.76-3.92, 2 Th 3.91



# 5
This record from Alexandria via LeMat-Bulk describes crystalline KUZnS4 at its relaxed geometry. The functional is PBE.

## Properties
The calculation puts the total magnetization at 0.14 μB/atom. Its density of states at the Fermi level is 11.06 states/eV/cell. As for the total energy: -5.4020 eV per atom. The uncorrected formation energy is -1.092 eV/atom.

Unit cell a=6.3844 b=6.6055 c=8.9045 alpha=90.00 beta=109.63 gamma=90.00
With the nearest neighbours (Å) after each atom.
Space group P2_1/m (No. 11)
One atom of each set of equivalent atoms:
K 0.2429 0.2500 0.4507  2 S 3.06-3.20
U 0.2745 0.2500 0.9471  6 S 2.58-2.75
Zn 0.2669 0.7500 0.1629  4 S 2.28-2.34
S 0.0139 0.7500 0.9077  1 Zn 2.30
S 0.0560 0.7500 0.3244  1 Zn 2.28
S 0.4734 0.5117 0.8043  1 Zn 2.34



# 6
This record from Alexandria via LeMat-Bulk describes crystalline Zr2PaO at its relaxed geometry. The functional is PBE.

## Properties
The calculation puts the total magnetization at 0.00 μB/atom. Its density of states at the Fermi level is 5.74 states/eV/cell. As for the total energy: -8.5870 eV per atom. The uncorrected formation energy is -0.699 eV/atom.

Unit cell a=2.9435 b=2.9435 c=8.4136 alpha=90.00 beta=90.00 gamma=90.00
With the nearest neighbours (Å) after each atom.
Space group P4/mmm (No. 123)
One atom of each set of equivalent atoms:
Zr 0.0000 0.0000 0.1812  4 O 2.58
Pa 0.5000 0.5000 0.5000  4 Pa 2.94
O 0.5000 0.5000 0.0000  8 Zr 2.58